Record 1
This record from Alexandria via LeMat-Bulk describes AlTe2H after structural relaxation. The functional is PBE-GGA.

abc: 4.8125 4.8125 4.8125
angles: 60.00 60.00 60.00
Fractional coordinates of all 4 atoms:
Al1 0.0000 0.0000 0.0000
Te1 0.2500 0.2500 0.2500
Te2 0.7500 0.7500 0.7500
H1 0.5000 0.5000 0.5000

Results
**SG**: Fm-3m
**Calculated total energy**: -11.54 eV for the cell shown
**Crystal system**: cubic
**V**: 19.70 Å³ per atom

=====

Record 2
This record from Alexandria via LeMat-Bulk describes La2YMg2 after structural relaxation. The functional is PBE-GGA.

abc: 9.1509 9.1509 3.7654
angles: 90.00 90.00 90.00
Fractional coordinates of all 10 atoms:
La1 0.1211 0.3789 0.0000
La2 0.3789 0.8789 0.0000
La3 0.6211 0.1211 0.0000
La4 0.8789 0.6211 0.0000
Y1 0.0000 0.0000 0.0000
Y2 0.5000 0.5000 0.0000
Mg1 0.1757 0.6757 0.5000
Mg2 0.3243 0.1757 0.5000
Mg3 0.6757 0.8243 0.5000
Mg4 0.8243 0.3243 0.5000

Results
**SG**: P4/mbm
**Calculated total energy**: -38.14 eV for the cell shown
**Crystal system**: tetragonal
**V**: 31.53 Å³ per atom